DFT (PBE) results for a relaxed NdDyAs2Pt2 crystal.

Total magnetic moment in μB per cell: 0.00
Energy above the most stable polymorph in this dataset in meV/atom: 0
SG: P6_3/mmc
Total energy in eV for the cell shown: -76.61

a = 4.323 Å, b = 4.323 Å, c = 15.587 Å
α = 90.00°, β = 90.00°, γ = 120.00°
Sites, in units of the cell vectors:
Nd  0.000  0.000  0.000
Nd  0.000  0.000  0.500
Dy  0.000  0.000  0.250
Dy  0.000  0.000  0.750
As  0.333  0.667  0.120
As  0.333  0.667  0.380
As  0.667  0.333  0.620
As  0.667  0.333  0.880
Pt  0.333  0.667  0.642
Pt  0.333  0.667  0.858
Pt  0.667  0.333  0.142
Pt  0.667  0.333  0.358